Record 1
Here is crystalline Fe2CuTc at its relaxed geometry from Alexandria. Energies are from GGA-PBE.

Cell: 4.494 4.494 4.675 Å, 96.22 96.22 32.40°
Sites, in units of the cell vectors:
Fe 0.247 0.247 0.244
Fe 0.753 0.753 0.756
Cu 0.500 0.500 0.000
Tc 0.000 0.000 0.500

Output
The calculation puts the total energy at -7.64 eV/atom. The total magnetization is 4.857 μB/cell. For the energy of formation from the pure elements, the calculation gives 0.81 eV per formula unit. Its symmetry is C2/m. For the density of states at the Fermi level, the calculation gives 0.961 states/eV/atom.

Record 2
Here is crystalline Fe2CuTc at its relaxed geometry from Alexandria. Energies are from GGA-PBE.

Cell: 2.834 2.834 6.228 Å, 90.00 90.00 90.00°
Sites, in units of the cell vectors:
Fe 0.000 0.000 0.000
Fe 0.500 0.500 0.228
Cu 0.500 0.500 0.760
Tc 0.000 0.000 0.473

Output
The calculation puts the total energy at -7.66 eV/atom. The total magnetization is 4.468 μB/cell. For the energy of formation from the pure elements, the calculation gives 0.73 eV per formula unit. Its symmetry is P4mm. For the density of states at the Fermi level, the calculation gives 1.002 states/eV/atom.